# TlNi2O3 PBE+U relaxed
data_TlNi2O3
_symmetry_space_group_name_H-M 'P 1'
_symmetry_Int_Tables_number 1
_cell_length_a 6.013
_cell_length_b 6.013
_cell_length_c 5.495
_cell_angle_alpha 103.24
_cell_angle_beta 103.24
_cell_angle_gamma 85.42
loop_
_symmetry_equiv_pos_as_xyz
'x,y,z'
loop_
_atom_site_label
_atom_site_type_symbol
_atom_site_fract_x
_atom_site_fract_y
_atom_site_fract_z
Tl1 Tl 0.152 0.848 0.750
Tl2 Tl 0.848 0.152 0.250
Ni1 Ni 0.311 0.359 0.917
Ni2 Ni 0.359 0.311 0.417
Ni3 Ni 0.641 0.689 0.583
Ni4 Ni 0.689 0.641 0.083
O1 O 0.181 0.182 0.590
O2 O 0.182 0.181 0.090
O3 O 0.500 0.500 0.250
O4 O 0.500 0.500 0.750
O5 O 0.818 0.819 0.910
O6 O 0.819 0.818 0.410
# D(E_F): 2.7 states/eV/cell
# Calculated total energy: -51.42 eV per cell